VASP calculation (GGA+U) on NiSCl2F after structural relaxation.

Cell lengths 4.6475, 4.6475, 4.8571 Å; angles 90.00, 90.00, 90.00 degrees
Closest atoms and distances in Å follow each position.
Fractional positions:
F 0.5000 0.5000 0.5000  4 S 3.29, 8 Cl 3.36
Cl 0.5000 0.0000 0.0000  2 Ni 2.32
S 0.0000 0.0000 0.5000  2 Ni 2.43
Ni 0.0000 0.0000 0.0000  4 Cl 2.32, 2 S 2.43
Cl 0.0000 0.5000 0.0000  2 Ni 2.32

Output
Symmetry ... P4/mmm (123)
Distance to the lowest polymorph of the same formula ... 0.0 kJ per mole of atoms
DOS at the Fermi energy ... 5.8 states/eV per cell
Total magnetic moment ... 0.199 μB per atom